VASP calculation (PBE) on a relaxed NaCd4Hg6 crystal.

Cell lengths 6.001, 6.001, 9.059 Å; angles 109.34, 109.34, 90.00 degrees
Sites, in units of the cell vectors:
Na (0.500, 0.500, 0.000)
Cd (0.053, 0.686, 0.739)
Cd (0.947, 0.947, 0.261)
Cd (0.686, 0.053, 0.739)
Cd (0.314, 0.314, 0.261)
Hg (0.874, 0.487, 0.361)
Hg (0.487, 0.874, 0.361)
Hg (0.513, 0.513, 0.639)
Hg (0.000, 0.500, 0.000)
Hg (0.126, 0.126, 0.639)
Hg (0.500, 0.000, 0.000)

Output
* E above lowest polymorph: 5 meV per atom
* space-group type: I-42m
* ΔH_f (0 K): -0.019 eV per atom